No. 1
{"formula": "Dy6Sb2Te3P", "functional": "PBE-GGA", "state": "relaxed", "cell": [[-1.936, -1.274, -3.591], [-0.866, -7.995, 3.302], [-6.953, 5.069, 4.493]], "species": ["P", "Dy", "Dy", "Dy", "Dy", "Dy", "Dy", "Sb", "Sb", "Te", "Te", "Te"], "fractional_positions": [[0.500, 0.000, 0.000], [0.000, 0.784, 0.999], [0.000, 0.216, 0.001], [0.666, 0.577, 0.333], [0.649, 0.079, 0.299], [0.351, 0.921, 0.701], [0.334, 0.423, 0.667], [0.833, 0.668, 0.666], [0.167, 0.332, 0.334], [0.171, 0.837, 0.341], [0.829, 0.163, 0.659], [0.500, 0.500, 0.000]], "formation_energy_uncorrected_ev_per_atom": -1.3468, "dos_at_fermi_per_ev_atom": 0.3892, "sg": "C2/m (12)", "e_tot_ev_per_atom": -5.571}

No. 2
{"formula": "Dy6Sb3TeP2", "functional": "PBE-GGA", "state": "relaxed", "cell": [[-1.812, 3.272, 1.987], [-5.605, 0.792, -6.416], [-3.309, -7.495, 4.813]], "species": ["Dy", "Dy", "Dy", "Dy", "Dy", "Dy", "Sb", "Sb", "Sb", "Te", "P", "P"], "fractional_positions": [[0.011, 0.262, 0.022], [0.673, 0.106, 0.346], [0.327, 0.894, 0.654], [0.673, 0.571, 0.346], [0.989, 0.738, 0.978], [0.327, 0.429, 0.654], [0.839, 0.168, 0.678], [0.161, 0.832, 0.322], [0.500, 0.500, 0.000], [0.500, 0.000, 0.000], [0.831, 0.664, 0.662], [0.169, 0.336, 0.338]], "formation_energy_uncorrected_ev_per_atom": -1.3185, "dos_at_fermi_per_ev_atom": 0.1954, "sg": "C2/m (12)", "e_tot_ev_per_atom": -5.814}

No. 3
{"formula": "Dy4Sb2TeP", "functional": "PBE-GGA", "state": "relaxed", "cell": [[-1.282, 0.072, 4.071], [-2.824, -6.807, -0.769], [5.217, -5.026, 1.732]], "species": ["Sb", "Sb", "Dy", "Dy", "Dy", "Dy", "Te", "P"], "fractional_positions": [[0.500, 0.000, 0.500], [0.000, 0.000, 0.000], [0.000, 0.745, 0.734], [0.500, 0.266, 0.730], [0.500, 0.734, 0.270], [0.000, 0.255, 0.266], [0.500, 0.500, 0.000], [0.000, 0.500, 0.500]], "formation_energy_uncorrected_ev_per_atom": -1.2952, "dos_at_fermi_per_ev_atom": 0.2076, "sg": "P2/m (10)", "e_tot_ev_per_atom": -5.696}

No. 4
{"formula": "Dy6SbTe3P2", "functional": "PBE-GGA", "state": "relaxed", "cell": [[4.192, 0.000, 0.000], [0.000, 8.601, 0.204], [-2.096, -2.581, 8.978]], "species": ["P", "P", "Sb", "Te", "Te", "Te", "Dy", "Dy", "Dy", "Dy", "Dy", "Dy"], "fractional_positions": [[0.169, 0.338, 0.338], [0.831, 0.662, 0.662], [0.500, 0.000, 0.000], [0.839, 0.167, 0.677], [0.161, 0.833, 0.323], [0.500, 0.500, 0.000], [0.016, 0.255, 0.033], [0.677, 0.564, 0.355], [0.670, 0.120, 0.340], [0.330, 0.880, 0.660], [0.323, 0.436, 0.645], [0.984, 0.745, 0.967]], "formation_energy_uncorrected_ev_per_atom": -1.4461, "dos_at_fermi_per_ev_atom": 0.3537, "sg": "C2/m (12)", "e_tot_ev_per_atom": -5.778}

No. 5
{"formula": "Dy3ScP4", "functional": "PBE-GGA", "state": "relaxed", "cell": [[-0.441, -1.397, -3.670], [4.608, -4.878, 1.304], [-6.242, -2.272, 1.614]], "species": ["Dy", "Dy", "Dy", "Sc", "P", "P", "P", "P"], "fractional_positions": [[0.500, 0.500, 0.500], [0.000, 0.000, 0.500], [0.000, 0.500, 0.000], [0.500, 0.000, 0.000], [0.000, 0.240, 0.240], [0.500, 0.245, 0.755], [0.500, 0.755, 0.245], [0.000, 0.760, 0.760]], "dos_at_fermi_per_ev_atom": 0.1056, "sg": "Cmmm (65)", "e_tot_ev_per_atom": -6.787}

No. 6
{"formula": "DyScP2", "functional": "PBE-GGA", "state": "relaxed", "cell": [[3.850, 0.000, 0.000], [1.925, 3.334, 0.000], [1.925, 1.111, 6.576]], "species": ["Dy", "P", "P", "Sc"], "fractional_positions": [[0.497, 0.497, 0.508], [0.256, 0.256, 0.232], [0.077, 0.077, 0.768], [0.669, 0.669, 0.992]], "e_above_lowest_polymorph_mev_per_atom": 150.1, "dos_at_fermi_per_ev_atom": 0.0916, "sg": "R3m (160)", "e_tot_ev_per_atom": -6.826}

No. 7
{"formula": "Dy2ScP", "functional": "PBE-GGA", "state": "relaxed", "cell": [[-1.277, -1.235, -3.240], [-0.588, -3.615, -0.498], [-9.712, -0.576, 1.941]], "species": ["P", "Sc", "Dy", "Dy"], "fractional_positions": [[0.500, 0.500, 0.500], [0.000, 0.000, 0.000], [0.110, 0.110, 0.669], [0.890, 0.890, 0.331]], "dos_at_fermi_per_ev_atom": 1.2846, "sg": "R-3m (166)", "e_tot_ev_per_atom": -5.647}

No. 8
{"formula": "Dy4ScP5", "functional": "PBE-GGA", "state": "relaxed", "cell": [[1.838, 2.077, 4.881], [1.455, -4.770, 4.710], [6.809, 0.761, 0.340]], "species": ["P", "P", "P", "P", "P", "Dy", "Dy", "Dy", "Dy", "Sc"], "fractional_positions": [[0.903, 0.390, 0.805], [0.708, 0.195, 0.390], [0.294, 0.805, 0.610], [0.501, 0.000, 0.000], [0.099, 0.610, 0.195], [0.201, 0.202, 0.398], [0.599, 0.602, 0.202], [0.801, 0.798, 0.602], [0.403, 0.398, 0.798], [0.001, 0.000, 0.000]], "dos_at_fermi_per_ev_atom": 0.0735, "sg": "I4/m (87)", "e_tot_ev_per_atom": -6.751}

Q: What is the formula in the fifth record?
A: Dy3ScP4

Repeat the sixth record exactly.
{"formula": "DyScP2", "functional": "PBE-GGA", "state": "relaxed", "cell": [[3.850, 0.000, 0.000], [1.925, 3.334, 0.000], [1.925, 1.111, 6.576]], "species": ["Dy", "P", "P", "Sc"], "fractional_positions": [[0.497, 0.497, 0.508], [0.256, 0.256, 0.232], [0.077, 0.077, 0.768], [0.669, 0.669, 0.992]], "e_above_lowest_polymorph_mev_per_atom": 150.1, "dos_at_fermi_per_ev_atom": 0.0916, "sg": "R3m (160)", "e_tot_ev_per_atom": -6.826}